{"formula": "Sc3InH", "functional": "PBE", "state": "optimized geometry", "dft_energy_ev_per_atom": -5.33, "spacegroup": "No. 14", "density_kg_m3": 4303, "dos_at_fermi_per_ev_cell": 20.58, "crystal_system": "monoclinic", "lattice_angstrom": [[7.841, 0.000, 0.000], [0.000, 6.131, 0.000], [-6.838, 0.000, 8.048]], "species": ["Sc", "Sc", "Sc", "Sc", "Sc", "Sc", "Sc", "Sc", "Sc", "Sc", "Sc", "Sc", "In", "In", "In", "In", "H", "H", "H", "H"], "frac_coords": [[0.023, 0.033, 0.264], [0.023, 0.467, 0.764], [0.290, 0.146, 0.653], [0.290, 0.354, 0.153], [0.451, 0.747, 0.475], [0.451, 0.753, 0.975], [0.549, 0.247, 0.025], [0.549, 0.253, 0.525], [0.710, 0.646, 0.847], [0.710, 0.854, 0.347], [0.977, 0.533, 0.236], [0.977, 0.967, 0.736], [0.195, 0.664, 0.600], [0.195, 0.836, 0.100], [0.805, 0.164, 0.900], [0.805, 0.336, 0.400], [0.332, 0.037, 0.491], [0.332, 0.463, 0.991], [0.668, 0.537, 0.009], [0.668, 0.963, 0.509]]}

***

{"formula": "Sc3In2H", "functional": "PBE", "state": "optimized geometry", "dft_energy_ev_per_atom": -4.96, "spacegroup": "No. 15", "density_kg_m3": 5017, "dos_at_fermi_per_ev_cell": 10.10, "crystal_system": "monoclinic", "lattice_angstrom": [[6.826, -2.878, 0.000], [6.826, 2.878, 0.000], [-0.870, 0.000, 6.157]], "species": ["Sc", "Sc", "Sc", "Sc", "Sc", "Sc", "In", "In", "In", "In", "H", "H"], "frac_coords": [[0.073, 0.927, 0.750], [0.316, 0.461, 0.357], [0.461, 0.316, 0.857], [0.539, 0.684, 0.143], [0.684, 0.539, 0.643], [0.927, 0.073, 0.250], [0.140, 0.236, 0.032], [0.236, 0.140, 0.532], [0.764, 0.860, 0.468], [0.860, 0.764, 0.968], [0.414, 0.586, 0.750], [0.586, 0.414, 0.250]]}

***

{"formula": "ScIn2SnH", "functional": "PBE", "state": "optimized geometry", "spacegroup": "No. 123", "density_kg_m3": 3365, "dos_at_fermi_per_ev_cell": 4.81, "crystal_system": "tetragonal", "relative_energy_mev_per_atom": 899.9, "lattice_angstrom": [[5.716, 0.000, 0.000], [0.000, 5.716, 0.000], [0.000, 0.000, 5.955]], "species": ["Sc", "In", "In", "Sn", "H"], "frac_coords": [[0.000, 0.000, 0.000], [0.000, 0.500, 0.500], [0.500, 0.000, 0.500], [0.500, 0.500, 0.000], [0.500, 0.500, 0.500]]}

***

{"formula": "ScIn2SnH", "functional": "PBE", "state": "optimized geometry", "spacegroup": "No. 123", "density_kg_m3": 6581, "dos_at_fermi_per_ev_cell": 4.08, "crystal_system": "tetragonal", "relative_energy_mev_per_atom": 0.0, "lattice_angstrom": [[4.808, 0.000, 0.000], [0.000, 4.808, 0.000], [0.000, 0.000, 4.304]], "species": ["Sc", "In", "In", "Sn", "H"], "frac_coords": [[0.000, 0.000, 0.000], [0.000, 0.500, 0.500], [0.500, 0.000, 0.500], [0.500, 0.500, 0.000], [0.000, 0.000, 0.500]]}

***

{"formula": "Sc4InSnH", "functional": "PBE", "state": "optimized geometry", "dft_energy_ev_per_atom": -5.55, "spacegroup": "No. 63", "density_kg_m3": 4799, "dos_at_fermi_per_ev_cell": 12.34, "crystal_system": "orthorhombic", "lattice_angstrom": [[3.013, -7.885, 0.000], [3.013, 7.885, 0.000], [0.000, 0.000, 6.035]], "species": ["Sc", "Sc", "Sc", "Sc", "Sc", "Sc", "Sc", "Sc", "In", "In", "Sn", "Sn", "H", "H"], "frac_coords": [[0.000, 0.500, 0.000], [0.000, 0.500, 0.500], [0.076, 0.924, 0.750], [0.424, 0.576, 0.750], [0.500, 0.000, 0.000], [0.500, 0.000, 0.500], [0.576, 0.424, 0.250], [0.924, 0.076, 0.250], [0.112, 0.888, 0.250], [0.888, 0.112, 0.750], [0.388, 0.612, 0.250], [0.612, 0.388, 0.750], [0.213, 0.787, 0.750], [0.787, 0.213, 0.250]]}

***

{"formula": "Sr2ScInH", "functional": "PBE", "state": "optimized geometry", "dft_energy_ev_per_atom": -3.31, "spacegroup": "No. 123", "density_kg_m3": 4295, "dos_at_fermi_per_ev_cell": 4.78, "crystal_system": "tetragonal", "lattice_angstrom": [[5.091, 0.000, 0.000], [0.000, 5.091, 0.000], [0.000, 0.000, 5.012]], "species": ["Sr", "Sr", "Sc", "In", "H"], "frac_coords": [[0.000, 0.500, 0.000], [0.500, 0.000, 0.000], [0.000, 0.000, 0.500], [0.500, 0.500, 0.500], [0.000, 0.000, 0.000]]}

***

{"formula": "SrScIn2H", "functional": "PBE", "state": "optimized geometry", "dft_energy_ev_per_atom": -3.59, "spacegroup": "No. 123", "density_kg_m3": 5137, "dos_at_fermi_per_ev_cell": 2.86, "crystal_system": "tetragonal", "lattice_angstrom": [[5.616, 0.000, 0.000], [0.000, 5.616, 0.000], [0.000, 0.000, 3.722]], "species": ["Sr", "Sc", "In", "In", "H"], "frac_coords": [[0.000, 0.000, 0.000], [0.500, 0.500, 0.000], [0.000, 0.500, 0.500], [0.500, 0.000, 0.500], [0.500, 0.500, 0.500]]}

***

{"formula": "SrScInH2", "functional": "PBE", "state": "optimized geometry", "dft_energy_ev_per_atom": -3.14, "spacegroup": "No. 123", "density_kg_m3": 2683, "dos_at_fermi_per_ev_cell": 4.40, "crystal_system": "tetragonal", "lattice_angstrom": [[4.312, 0.000, 0.000], [0.000, 4.312, 0.000], [0.000, 0.000, 8.301]], "species": ["Sr", "Sc", "In", "H", "H"], "frac_coords": [[0.000, 0.000, 0.000], [0.000, 0.000, 0.500], [0.500, 0.500, 0.500], [0.000, 0.500, 0.000], [0.500, 0.000, 0.000]]}